Compound: ReSe
Source: Alexandria
Functional: PBE
Structure: optimized geometry

E (eV per atom): -7.53
Energy relative to the lowest polymorph listed for this composition (meV/atom): 561
Formation energy from raw total energies (eV per atom): 0.433
D(E_F) (states/eV per cell): 7.105

Lattice parameters (Å, degrees): 9.9611 9.9611 3.6041 90.00 90.00 120.00
Space group P6_3/m (No. 176)
Symmetry-distinct sites (fractional):
Re 0.0231 0.5919 0.2500
Se 0.1457 0.3912 0.2500